# 1
{"formula": "Cs6O2F", "functional": "PBE", "state": "relaxed", "lattice_angstrom": [[8.950, -2.162, 0.000], [8.950, 2.162, 0.000], [-7.392, 0.000, 11.142]], "species": ["Cs", "Cs", "Cs", "Cs", "Cs", "Cs", "O", "O", "F"], "frac_coords": [[0.035, 0.035, 0.254], [0.299, 0.299, 0.427], [0.359, 0.359, 0.896], [0.641, 0.641, 0.104], [0.701, 0.701, 0.573], [0.965, 0.965, 0.746], [0.338, 0.338, 0.676], [0.662, 0.662, 0.324], [0.000, 0.000, 0.000]], "formation_energy_uncorrected_ev_per_atom": -1.27, "space_group": "C2/m (12)", "volume_a3_per_atom": 47.92}


# 2
{"formula": "Zr2CuBr", "functional": "PBE", "state": "relaxed", "lattice_angstrom": [[-1.995, 1.995, 4.978], [1.995, -1.995, 4.978], [1.995, 1.995, -4.978]], "species": ["Zr", "Zr", "Cu", "Br"], "frac_coords": [[0.000, 0.000, 0.000], [0.750, 0.250, 0.500], [0.500, 0.500, 0.000], [0.250, 0.750, 0.500]], "formation_energy_uncorrected_ev_per_atom": 0.19, "space_group": "I-4m2 (119)", "polymorph_energy_ev_per_atom": 0.384, "volume_a3_per_atom": 19.82}


# 3
{"formula": "Rb2AuI6O", "functional": "PBE", "state": "relaxed", "lattice_angstrom": [[-4.137, 4.137, 5.324], [4.137, -4.137, 5.324], [4.137, 4.137, -5.324]], "species": ["Rb", "Rb", "Au", "I", "I", "I", "I", "I", "I", "O"], "frac_coords": [[0.250, 0.750, 0.500], [0.750, 0.250, 0.500], [0.000, 0.000, 0.000], [0.234, 0.234, 0.467], [0.234, 0.766, 0.000], [0.290, 0.290, 0.000], [0.710, 0.710, 0.000], [0.766, 0.234, 0.000], [0.766, 0.766, 0.533], [0.500, 0.500, 0.000]], "formation_energy_uncorrected_ev_per_atom": -0.50, "space_group": "I4/mmm (139)", "volume_a3_per_atom": 36.45}